DFT (GGA-PBEsol) results for a relaxed structure of TcSb7.

a b c (Å): 9.1517 9.1517 9.1517
angles (deg): 90.00 90.00 90.00
Space group Fm-3m (No. 225)
Inequivalent atoms, fractional coordinates:
Tc1 0.0000 0.0000 0.0000 (multiplicity 4)
Sb1 0.0000 0.0000 0.5000 (multiplicity 4)
Sb2 0.0000 0.2500 0.2500 (multiplicity 24)

Results
**Calculated volume**: 766.5 Å³/cell
**E_form (uncorrected)**: 0.508 eV per atom